No. 1
## Al2Mo (SCAN)

Data for a PBEsol-optimized structure of Al2Mo.

calculated total energy: -50.31 eV/f.u.
V: 15.631 A^3/atom
ΔE_f: 0.026 eV/atom

a = 2.6855 Å, b = 4.6200 Å, c = 4.6286 Å
α = 119.94°, β = 106.86°, γ = 90.00°
With the nearest neighbours (Å) after each atom.
Fractional positions:
Mo (0.0000, 0.0000, 0.0000)  2 Mo 2.69, 8 Al 2.70-2.73
Al (0.1849, 0.6849, 0.3699)  7 Al 2.69-2.85, 4 Mo 2.70-2.73
Al (0.8151, 0.3151, 0.6301)  7 Al 2.69-2.85, 4 Mo 2.70-2.73

---

No. 2
## Li2CuAu (SCAN)

Data for a PBEsol-optimized structure of Li2CuAu.

calculated total energy: -90.42 eV/f.u.
V: 13.507 A^3/atom
ΔE_f: -0.321 eV/atom

a = 2.7466 Å, b = 4.5603 Å, c = 4.5603 Å
α = 108.94°, β = 90.00°, γ = 90.00°
With the nearest neighbours (Å) after each atom.
Fractional positions:
Li (0.0000, 0.5000, 0.0000)  4 Li 2.65-2.75, 4 Cu 2.66, 4 Au 2.66
Cu (0.5000, 0.0000, 0.0000)  2 Au 2.65, 8 Li 2.66, 2 Cu 2.75
Li (0.0000, 0.0000, 0.5000)  4 Li 2.65-2.75, 4 Au 2.66, 4 Cu 2.66
Au (0.5000, 0.5000, 0.5000)  2 Cu 2.65, 8 Li 2.66, 2 Au 2.75

---

No. 3
## Cd2NiRh (SCAN)

Data for a PBEsol-optimized structure of Cd2NiRh.

calculated total energy: -110.26 eV/f.u.
V: 15.369 A^3/atom
ΔE_f: 0.127 eV/atom

a = 4.4300 Å, b = 4.4300 Å, c = 4.4300 Å
α = 60.00°, β = 60.00°, γ = 60.00°
With the nearest neighbours (Å) after each atom.
Fractional positions:
Cd (0.0000, 0.0000, 0.0000)  4 Rh 2.71, 4 Cd 2.71
Ni (0.5000, 0.5000, 0.5000)  4 Cd 2.71, 4 Rh 2.71
Cd (0.7500, 0.7500, 0.7500)  4 Ni 2.71, 4 Cd 2.71
Rh (0.2500, 0.2500, 0.2500)  4 Cd 2.71, 4 Ni 2.71

---

ΔE_f of number 2 (Li2CuAu)?
-0.321 eV/atom

---

Please write out number 2 again, unchanged.
## Li2CuAu (SCAN)

Data for a PBEsol-optimized structure of Li2CuAu.

calculated total energy: -90.42 eV/f.u.
V: 13.507 A^3/atom
ΔE_f: -0.321 eV/atom

a = 2.7466 Å, b = 4.5603 Å, c = 4.5603 Å
α = 108.94°, β = 90.00°, γ = 90.00°
With the nearest neighbours (Å) after each atom.
Fractional positions:
Li (0.0000, 0.5000, 0.0000)  4 Li 2.65-2.75, 4 Cu 2.66, 4 Au 2.66
Cu (0.5000, 0.0000, 0.0000)  2 Au 2.65, 8 Li 2.66, 2 Cu 2.75
Li (0.0000, 0.0000, 0.5000)  4 Li 2.65-2.75, 4 Au 2.66, 4 Cu 2.66
Au (0.5000, 0.5000, 0.5000)  2 Cu 2.65, 8 Li 2.66, 2 Au 2.75